[1]
# GGA-PBE CsHf4S8, relaxed
data_CsHf4S8
_chemical_formula_sum 'Cs3 Hf12 S24'
_cell_length_a 7.2325
_cell_length_b 7.2325
_cell_length_c 25.8750
_cell_angle_alpha 90.00
_cell_angle_beta 90.00
_cell_angle_gamma 120.00
_space_group_name_H-M_alt 'R -3 m'
_space_group_IT_number 166
_space_group_name_Hall '-R 3 2"'
loop_
_atom_site_label
_atom_site_fract_x
_atom_site_fract_y
_atom_site_fract_z
_atom_site_occupancy
Cs1 0.0000 0.0000 0.0000 1
Hf1 0.0000 0.0000 0.5000 1
Hf2 0.0000 0.5000 0.5000 1
S1 0.0000 0.0000 0.2236 1
S2 0.0013 0.5007 0.2238 1
# Crystal system   trigonal
# VASP energy   -7.3092 eV/atom

---

[2]
# GGA-PBE GdFeSb2, relaxed
data_GdFeSb2
_chemical_formula_sum 'Gd2 Fe2 Sb4'
_cell_length_a 4.312
_cell_length_b 4.312
_cell_length_c 9.578
_cell_angle_alpha 90.00
_cell_angle_beta 90.00
_cell_angle_gamma 90.00
_space_group_name_H-M_alt 'P 4/n m m'
_space_group_IT_number 129
loop_
_space_group_symop_operation_xyz
'x,y,z'
'-x,-y,-z'
'-y+1/2,x,z'
'y+1/2,-x,-z'
'-x+1/2,-y+1/2,z'
'x+1/2,y+1/2,-z'
'y,-x+1/2,z'
'-y,x+1/2,-z'
'x+1/2,-y,-z'
'-x+1/2,y,z'
'-y,-x,-z'
'y,x,z'
'-x,y+1/2,-z'
'x,-y+1/2,z'
'y+1/2,x+1/2,-z'
'-y+1/2,-x+1/2,z'
loop_
_atom_site_label
_atom_site_fract_x
_atom_site_fract_y
_atom_site_fract_z
_atom_site_occupancy
Gd1 0.250 0.250 0.240 1
Fe1 0.250 0.750 0.000 1
Sb1 0.250 0.250 0.860 1
Sb2 0.250 0.750 0.500 1
# Crystal system   tetragonal
# VASP energy   -5.7922 eV/atom

---

[3]
# GGA-PBE NaCuNiAs2, relaxed
data_NaCuNiAs2
_chemical_formula_sum 'Na2 Cu2 Ni2 As4'
_cell_length_a 4.081
_cell_length_b 4.081
_cell_length_c 10.205
_cell_angle_alpha 90.00
_cell_angle_beta 90.00
_cell_angle_gamma 90.00
_space_group_name_H-M_alt 'I -4 m 2'
_space_group_IT_number 119
_space_group_name_Hall 'I -4 -2'
loop_
_atom_site_label
_atom_site_fract_x
_atom_site_fract_y
_atom_site_fract_z
_atom_site_occupancy
Na1 0.000 0.000 0.000 1
Cu1 0.000 0.500 0.250 1
Ni1 0.000 0.500 0.750 1
As1 0.000 0.000 0.375 1
# Crystal system   tetragonal
# VASP energy   -4.2484 eV/atom

---

[4]
# GGA-PBE TmNiAu, relaxed
data_TmNiAu
_chemical_formula_sum 'Tm4 Ni4 Au4'
_cell_length_a 6.440
_cell_length_b 6.440
_cell_length_c 6.440
_cell_angle_alpha 90.00
_cell_angle_beta 90.00
_cell_angle_gamma 90.00
_space_group_name_H-M_alt 'F -4 3 m'
_space_group_IT_number 216
_space_group_name_Hall 'F -4 2 3'
loop_
_atom_site_label
_atom_site_fract_x
_atom_site_fract_y
_atom_site_fract_z
_atom_site_occupancy
Tm1 0.000 0.000 0.000 1
Ni1 0.250 0.250 0.250 1
Au1 0.250 0.250 0.750 1
# Crystal system   cubic
# Formation energy   -0.09 eV/atom

---

[5]
# GGA-PBE LuGe2Pb, relaxed
data_LuGe2Pb
_chemical_formula_sum 'Lu4 Ge8 Pb4'
_cell_length_a 7.272
_cell_length_b 7.272
_cell_length_c 7.272
_cell_angle_alpha 90.00
_cell_angle_beta 90.00
_cell_angle_gamma 90.00
_space_group_name_H-M_alt 'F -4 3 m'
_space_group_IT_number 216
_space_group_name_Hall 'F -4 2 3'
loop_
_atom_site_label
_atom_site_fract_x
_atom_site_fract_y
_atom_site_fract_z
_atom_site_occupancy
Lu1 0.000 0.000 0.000 1
Ge1 0.000 0.000 0.500 1
Ge2 0.250 0.250 0.750 1
Pb1 0.250 0.250 0.250 1
# Crystal system   cubic
# VASP energy   -4.3307 eV/atom

---

[6]
# GGA-PBE LiScAsIr, relaxed
data_LiScAsIr
_chemical_formula_sum 'Li4 Sc4 As4 Ir4'
_cell_length_a 6.233
_cell_length_b 6.233
_cell_length_c 6.233
_cell_angle_alpha 90.00
_cell_angle_beta 90.00
_cell_angle_gamma 90.00
_space_group_name_H-M_alt 'F -4 3 m'
_space_group_IT_number 216
_space_group_name_Hall 'F -4 2 3'
loop_
_atom_site_label
_atom_site_fract_x
_atom_site_fract_y
_atom_site_fract_z
_atom_site_occupancy
Li1 0.000 0.000 0.000 1
Sc1 0.250 0.250 0.250 1
As1 0.250 0.250 0.750 1
Ir1 0.000 0.000 0.500 1
# Crystal system   cubic
# VASP energy   -6.1854 eV/atom